Entry 1:
The following is a DFT calculation (GGA-PBEsol) of a relaxed structure of NaLi3Hg.

Calculated values
N(E_F), states/eV/cell: 2.18
Space-group type: Pm-3m
Calculated formation energy, eV/atom: -0.043

Cell and atoms, written as POSCAR:
```
NaLi3Hg
1.0
5.1038 0.0000 0.0000
0.0000 5.1038 0.0000
0.0000 0.0000 5.1038
Na Li Hg
1 3 1
Direct
0.0000 0.0000 0.0000
0.0000 0.5000 0.5000
0.5000 0.0000 0.5000
0.5000 0.5000 0.0000
0.5000 0.5000 0.5000
```

Entry 2:
The following is a DFT calculation (GGA-PBEsol) of a relaxed structure of NaLi2Hg2.

Calculated values
Excess energy over the best structure of this formula in the dataset, meV/atom: 0
N(E_F), states/eV/cell: 4.30
Space-group type: P4/mbm
Calculated formation energy, eV/atom: -0.299

Cell and atoms, written as POSCAR:
```
NaLi2Hg2
1.0
8.1470 0.0000 0.0000
0.0000 8.1470 0.0000
0.0000 0.0000 3.0727
Na Li Hg
2 4 4
Direct
0.0000 0.0000 0.0000
0.5000 0.5000 0.0000
0.1620 0.3380 0.5000
0.3380 0.8380 0.5000
0.6620 0.1620 0.5000
0.8380 0.6620 0.5000
0.1334 0.6334 0.0000
0.3666 0.1334 0.0000
0.6334 0.8666 0.0000
0.8666 0.3666 0.0000
```

M_tot? In order: 0.00 0.00 μB/f.u..
DFT total energy? In order: -1.616 -1.592 eV per atom.